--- one ---
The following is a PBE-GGA calculation of a relaxed structure of Ca2CuW, from Alexandria via LeMat-Bulk.

Properties
SG	P4/mmm, No. 123
total magnetization	1.189	Bohr magnetons per cell
crystal system	tetragonal

Cell lengths 4.358, 4.361, 4.542 Å; angles 90.00, 90.00, 90.00 degrees
Site moments in Bohr magnetons follow the coordinates.
Atoms (fractional coordinates):
Cu (0.500, 0.000, 0.500)  0.03
Ca (0.500, 0.500, 0.000)  0.00
Ca (0.000, 0.000, 0.000)  0.00
W (0.000, 0.500, 0.500)  0.96

=====

--- two ---
The following is a PBE-GGA calculation of a relaxed structure of Ca2CuW, from Alexandria via LeMat-Bulk.

Properties
SG	Pmmm, No. 47
total magnetization	0.290	Bohr magnetons per cell
crystal system	orthorhombic

Cell lengths 4.399, 3.075, 7.110 Å; angles 64.41, 90.00, 90.00 degrees
Site moments in Bohr magnetons follow the coordinates.
Atoms (fractional coordinates):
Cu (0.500, 0.250, 0.250)  0.00
W (0.500, 0.750, 0.750)  0.23
Ca (0.000, 0.998, 0.002)  0.00
Ca (0.000, 0.502, 0.498)  0.00

=====

--- three ---
The following is a PBE-GGA calculation of a relaxed structure of Ca2CuW, from Alexandria via LeMat-Bulk.

Properties
SG	I-4m2, No. 119
total magnetization	2.734	Bohr magnetons per cell
crystal system	tetragonal

Cell lengths 5.612, 5.612, 5.612 Å; angles 133.79, 133.79, 67.41 degrees
Site moments in Bohr magnetons follow the coordinates.
Atoms (fractional coordinates):
Ca (0.000, 0.000, 0.000)  0.05
Ca (0.250, 0.750, 0.500)  0.05
Cu (0.500, 0.500, 0.000)  0.08
W (0.750, 0.250, 0.500)  1.86

=====

Most stable structure, least stable structure: two, three.

=====

--- one ---
The following is a PBE-GGA calculation of a relaxed structure of Ca2CuW, from Alexandria via LeMat-Bulk.

Properties
SG	F-43m, No. 216
total magnetization	2.815	Bohr magnetons per cell
crystal system	cubic

Cell lengths 4.990, 4.990, 4.990 Å; angles 60.00, 60.00, 60.00 degrees
Site moments in Bohr magnetons follow the coordinates.
Atoms (fractional coordinates):
W (0.750, 0.750, 0.750)  1.99
Cu (0.500, 0.500, 0.500)  0.14
Ca (0.000, 0.000, 0.000)  0.11
Ca (0.250, 0.250, 0.250)  0.00

=====

--- two ---
The following is a PBE-GGA calculation of a relaxed structure of Ca2CuW, from Alexandria via LeMat-Bulk.

Properties
SG	Fm-3m, No. 225
total magnetization	3.015	Bohr magnetons per cell
crystal system	cubic

Cell lengths 5.102, 5.102, 5.102 Å; angles 60.00, 60.00, 60.00 degrees
Site moments in Bohr magnetons follow the coordinates.
Atoms (fractional coordinates):
Cu (0.000, 0.000, 0.000)  0.05
Ca (0.250, 0.250, 0.250)  0.05
W (0.500, 0.500, 0.500)  2.21
Ca (0.750, 0.750, 0.750)  0.05

=====

Most stable structure, least stable structure: two, one.

=====

--- one ---
The following is a PBE-GGA calculation of a relaxed structure of Ca2CuW, from Alexandria via LeMat-Bulk.

Properties
SG	Cmmm, No. 65
total magnetization	0.000	Bohr magnetons per cell
crystal system	orthorhombic

Cell lengths 5.592, 5.592, 2.923 Å; angles 90.01, 90.01, 108.99 degrees
Atoms (fractional coordinates):
W (0.000, 0.500, 0.500)
Cu (0.500, 0.000, 0.500)
Ca (0.500, 0.500, 0.000)
Ca (0.000, 0.000, 0.000)

=====

--- two ---
The following is a PBE-GGA calculation of a relaxed structure of Ca2CuW, from Alexandria via LeMat-Bulk.

Properties
SG	C2/m, No. 12
total magnetization	0.553	Bohr magnetons per cell
crystal system	monoclinic

Cell lengths 5.869, 5.869, 5.123 Å; angles 64.38, 64.38, 31.90 degrees
Site moments in Bohr magnetons follow the coordinates.
Atoms (fractional coordinates):
Ca (0.032, 0.032, 0.969)  0.00
Cu (0.750, 0.750, 0.750)  0.02
Ca (0.468, 0.468, 0.531)  0.00
W (0.250, 0.250, 0.250)  0.35

=====

--- three ---
The following is a PBE-GGA calculation of a relaxed structure of Ca2CuW, from Alexandria via LeMat-Bulk.

Properties
SG	I-42d, No. 122
total magnetization	5.881	Bohr magnetons per cell
crystal system	tetragonal

Cell lengths 8.043, 8.043, 6.390 Å; angles 50.99, 50.99, 90.00 degrees
Site moments in Bohr magnetons follow the coordinates.
Atoms (fractional coordinates):
Cu (0.500, 0.500, 0.000)  0.07
Cu (0.250, 0.750, 0.500)  0.07
Ca (0.585, 0.125, 0.250)  0.04
Ca (0.165, 0.625, 0.250)  0.03
Ca (0.375, 0.415, 0.750)  0.03
W (0.000, 0.000, 0.000)  2.03
W (0.750, 0.250, 0.500)  2.02
Ca (0.875, 0.835, 0.750)  0.03

=====

Most stable structure, least stable structure: one, three.